[1]
TlZnWO2 (PBE with a Hubbard U, optimized geometry); uncorrected energy = -3.258 eV per atom; space group = No. 123; N(E_F) = 2.9 states/eV/f.u.
1.0
4.191 0.000 0.000
0.000 4.191 0.000
0.000 0.000 6.153
Tl Zn W O
1 1 1 2
Cartesian
0.000 0.000 0.000
2.095 2.095 3.076
0.000 0.000 3.076
0.000 2.095 0.000
2.095 0.000 0.000

***

[2]
ZrTlWO6 (PBE with a Hubbard U, optimized geometry); uncorrected energy = -7.392 eV per atom; space group = No. 149; N(E_F) = 4.0 states/eV/f.u.
1.0
5.488 0.000 0.000
-2.744 4.752 0.000
0.000 0.000 5.175
Zr Tl W O
1 1 1 6
Cartesian
0.000 0.000 0.000
0.000 3.168 2.588
2.744 1.584 0.000
1.794 0.264 4.081
1.125 1.422 1.094
3.694 0.264 1.094
2.075 3.067 4.081
4.362 1.422 4.081
3.412 3.067 1.094